# PmAgAu, optimized geometry, DFT GGA-PBE
# **Mass density**: 10.50 Mg/m³
# **ΔE to the lowest computed polymorph**: 0.058 eV per atom
# **ΔE_f**: -0.494 eV/atom
# **DFT total energy**: -49.4 eV for the cell shown
data_PmAgAu
_chemical_formula_sum 'Pm4 Ag4 Au4'
_symmetry_space_group_name_H-M 'C m c m'
_symmetry_Int_Tables_number 63
_symmetry_space_group_name_Hall '-C 2c 2'
_cell_length_a 3.857
_cell_length_b 18.167
_cell_length_c 4.061
_cell_angle_alpha 90.00
_cell_angle_beta 90.00
_cell_angle_gamma 90.00
loop_
_atom_site_label
_atom_site_fract_x
_atom_site_fract_y
_atom_site_fract_z
_atom_site_occupancy
Pm1 0.000 0.126 0.250 1
Ag1 0.000 0.451 0.250 1
Au1 0.000 0.294 0.250 1

# PmAg4Au, optimized geometry, DFT GGA-PBE
# **Mass density**: 10.60 Mg/m³
# **ΔE_f**: -0.210 eV/atom
# **DFT total energy**: -82.8 eV for the cell shown
data_PmAg4Au
_chemical_formula_sum 'Pm4 Ag16 Au4'
_symmetry_space_group_name_H-M 'F -4 3 m'
_symmetry_Int_Tables_number 216
_symmetry_space_group_name_Hall 'F -4 2 3'
_cell_length_a 7.856
_cell_length_b 7.856
_cell_length_c 7.856
_cell_angle_alpha 90.00
_cell_angle_beta 90.00
_cell_angle_gamma 90.00
loop_
_atom_site_label
_atom_site_fract_x
_atom_site_fract_y
_atom_site_fract_z
_atom_site_occupancy
Pm1 0.000 0.000 0.000 1
Ag1 0.124 0.124 0.624 1
Au1 0.250 0.250 0.250 1

# Pm12Ag6Au, optimized geometry, DFT GGA-PBE
# **Mass density**: 8.07 Mg/m³
# **ΔE_f**: -0.105 eV/atom
# **DFT total energy**: -238.2 eV for the cell shown
data_Pm12Ag6Au
_chemical_formula_sum 'Pm36 Ag18 Au3'
_symmetry_space_group_name_H-M 'R -3'
_symmetry_Int_Tables_number 148
_symmetry_space_group_name_Hall '-R 3'
_cell_length_a 11.3583
_cell_length_b 11.3583
_cell_length_c 14.2744
_cell_angle_alpha 90.00
_cell_angle_beta 90.00
_cell_angle_gamma 120.00
loop_
_atom_site_label
_atom_site_fract_x
_atom_site_fract_y
_atom_site_fract_z
_atom_site_occupancy
Pm1 0.0266 0.1882 0.3328 1
Pm2 0.0598 0.8535 0.9019 1
Ag1 0.0294 0.4336 0.2065 1
Au1 0.0000 0.0000 0.5000 1